Entry 1:
VASP calculation (PBE) on a geometry-optimized Cs3Li2DyCl8 structure.

Computed properties:
Crystal system ... trigonal
M_tot ... 0.00 μB/f.u.
Volume ... 473 Å³ per cell
Formation energy from raw total energies ... -2024 meV/atom

Geometry as CIF:
```
data_Cs3Li2DyCl8
_chemical_formula_sum 'Cs3 Li2 Dy1 Cl8'
_cell_length_a 7.4791
_cell_length_b 7.4791
_cell_length_c 9.7687
_cell_angle_alpha 90.00
_cell_angle_beta 90.00
_cell_angle_gamma 120.00
_symmetry_space_group_name_H-M 'P -3 m 1'
_symmetry_Int_Tables_number 164
_symmetry_space_group_name_Hall '-P 3 2"'
loop_
_atom_site_label
_atom_site_fract_x
_atom_site_fract_y
_atom_site_fract_z
Cs1 0.0000 0.0000 0.0000
Cs2 0.3333 0.6667 0.6643
Li1 0.3333 0.6667 0.2241
Dy1 0.0000 0.0000 0.5000
Cl1 0.1649 0.3298 0.3407
Cl2 0.3333 0.6667 0.9973
```

***

Entry 2:
VASP calculation (PBE) on a geometry-optimized Cs2Li2DyCl6 structure.

Computed properties:
Crystal system ... trigonal
M_tot ... 0.39 μB/f.u.
Volume ... 362 Å³ per cell
Formation energy from raw total energies ... -1794 meV/atom

Geometry as CIF:
```
data_Cs2Li2DyCl6
_chemical_formula_sum 'Cs2 Li2 Dy1 Cl6'
_cell_length_a 7.2540
_cell_length_b 7.2540
_cell_length_c 7.9530
_cell_angle_alpha 90.00
_cell_angle_beta 90.00
_cell_angle_gamma 120.00
_symmetry_space_group_name_H-M 'P -3'
_symmetry_Int_Tables_number 147
_symmetry_space_group_name_Hall '-P 3'
loop_
_atom_site_label
_atom_site_fract_x
_atom_site_fract_y
_atom_site_fract_z
Cs1 0.3333 0.6667 0.3713
Li1 0.3333 0.6667 0.8767
Dy1 0.0000 0.0000 0.0000
Cl1 0.1596 0.3238 0.7735
```

***

Entry 3:
VASP calculation (PBE) on a geometry-optimized Cs2LiDyCl6 structure.

Computed properties:
Crystal system ... trigonal
M_tot ... 0.00 μB/f.u.
Volume ... 1855 Å³ per cell
Formation energy from raw total energies ... -2131 meV/atom

Geometry as CIF:
```
data_Cs2LiDyCl6
_chemical_formula_sum 'Cs12 Li6 Dy6 Cl36'
_cell_length_a 7.5544
_cell_length_b 7.5544
_cell_length_c 37.5378
_cell_angle_alpha 90.00
_cell_angle_beta 90.00
_cell_angle_gamma 120.00
_symmetry_space_group_name_H-M 'R -3 m'
_symmetry_Int_Tables_number 166
_symmetry_space_group_name_Hall '-R 3 2"'
loop_
_atom_site_label
_atom_site_fract_x
_atom_site_fract_y
_atom_site_fract_z
Cs1 0.0000 0.0000 0.1281
Cs2 0.0000 0.0000 0.2896
Li1 0.0000 0.0000 0.0000
Li2 0.0000 0.0000 0.5000
Dy1 0.0000 0.0000 0.4124
Cl1 0.0025 0.5012 0.7071
Cl2 0.0191 0.5095 0.1237
```

***

Entry 4:
VASP calculation (PBE) on a geometry-optimized CsLiDyCl6 structure.

Computed properties:
Crystal system ... triclinic
M_tot ... 1.06 μB/f.u.
Volume ... 303 Å³ per cell
Formation energy from raw total energies ... -1780 meV/atom

Geometry as CIF:
```
data_CsLiDyCl6
_chemical_formula_sum 'Cs1 Li1 Dy1 Cl6'
_cell_length_a 6.154
_cell_length_b 7.092
_cell_length_c 7.713
_cell_angle_alpha 87.77
_cell_angle_beta 82.19
_cell_angle_gamma 65.39
_symmetry_space_group_name_H-M 'P 1'
_symmetry_Int_Tables_number 1
_symmetry_space_group_name_Hall 'P 1'
loop_
_atom_site_label
_atom_site_fract_x
_atom_site_fract_y
_atom_site_fract_z
Cs1 0.000 0.000 0.000
Li1 0.627 0.749 0.489
Dy1 0.349 0.331 0.505
Cl1 0.033 0.596 0.306
Cl2 0.380 0.027 0.306
Cl3 0.430 0.578 0.721
Cl4 0.612 0.020 0.688
Cl5 0.623 0.451 0.277
Cl6 0.972 0.452 0.750
```

***

Entry 5:
VASP calculation (PBE) on a geometry-optimized Cs2LiDyCl6 structure.

Computed properties:
Crystal system ... cubic
M_tot ... 0.00 μB/f.u.
Volume ... 1197 Å³ per cell
Formation energy from raw total energies ... -2132 meV/atom

Geometry as CIF:
```
data_Cs2LiDyCl6
_chemical_formula_sum 'Cs8 Li4 Dy4 Cl24'
_cell_length_a 10.618
_cell_length_b 10.618
_cell_length_c 10.618
_cell_angle_alpha 90.00
_cell_angle_beta 90.00
_cell_angle_gamma 90.00
_symmetry_space_group_name_H-M 'F m -3 m'
_symmetry_Int_Tables_number 225
_symmetry_space_group_name_Hall '-F 4 2 3'
loop_
_atom_site_label
_atom_site_fract_x
_atom_site_fract_y
_atom_site_fract_z
Cs1 0.250 0.250 0.250
Li1 0.000 0.000 0.000
Dy1 0.000 0.000 0.500
Cl1 0.000 0.000 0.251
```

***

Entry 6:
VASP calculation (PBE) on a geometry-optimized CsDyMg2Cl8 structure.

Computed properties:
Crystal system ... triclinic
M_tot ... 0.00 μB/f.u.
Volume ... 376 Å³ per cell
Formation energy from raw total energies ... -1980 meV/atom

Geometry as CIF:
```
data_CsDyMg2Cl8
_chemical_formula_sum 'Cs1 Dy1 Mg2 Cl8'
_cell_length_a 6.642
_cell_length_b 6.749
_cell_length_c 9.430
_cell_angle_alpha 72.20
_cell_angle_beta 74.19
_cell_angle_gamma 72.64
_symmetry_space_group_name_H-M 'P -1'
_symmetry_Int_Tables_number 2
_symmetry_space_group_name_Hall '-P 1'
loop_
_atom_site_label
_atom_site_fract_x
_atom_site_fract_y
_atom_site_fract_z
Cs1 0.000 0.000 0.000
Dy1 0.000 0.000 0.500
Mg1 0.460 0.452 0.210
Cl1 0.184 0.711 0.724
Cl2 0.257 0.777 0.302
Cl3 0.279 0.233 0.444
Cl4 0.388 0.302 0.032
```

***

Entry 7:
VASP calculation (PBE) on a geometry-optimized Cs2DyMgCl6 structure.

Computed properties:
Crystal system ... orthorhombic
M_tot ... 0.92 μB/f.u.
Volume ... 673 Å³ per cell
Formation energy from raw total energies ... -1887 meV/atom

Geometry as CIF:
```
data_Cs2DyMgCl6
_chemical_formula_sum 'Cs4 Dy2 Mg2 Cl12'
_cell_length_a 7.809
_cell_length_b 11.039
_cell_length_c 7.802
_cell_angle_alpha 90.00
_cell_angle_beta 90.00
_cell_angle_gamma 90.00
_symmetry_space_group_name_H-M 'P m m n'
_symmetry_Int_Tables_number 59
loop_
_symmetry_equiv_pos_as_xyz
'x,y,z'
'-x,-y,-z'
'-x+1/2,-y+1/2,z'
'x+1/2,y+1/2,-z'
'x+1/2,-y,-z'
'-x+1/2,y,z'
'-x,y+1/2,-z'
'x,-y+1/2,z'
loop_
_atom_site_label
_atom_site_fract_x
_atom_site_fract_y
_atom_site_fract_z
Cs1 0.250 0.000 0.249
Dy1 0.250 0.250 0.749
Mg1 0.250 0.750 0.749
Cl1 0.009 0.250 0.508
Cl2 0.010 0.250 0.990
Cl3 0.250 0.009 0.749
```

***

Entry 8:
VASP calculation (PBE) on a geometry-optimized CsDyMn2Cl8 structure.

Computed properties:
Crystal system ... trigonal
M_tot ... 10.00 μB/f.u.
Volume ... 1189 Å³ per cell
Formation energy from raw total energies ... -1612 meV/atom

Geometry as CIF:
```
data_CsDyMn2Cl8
_chemical_formula_sum 'Cs3 Dy3 Mn6 Cl24'
_cell_length_a 6.4829
_cell_length_b 6.4829
_cell_length_c 32.6717
_cell_angle_alpha 90.00
_cell_angle_beta 90.00
_cell_angle_gamma 120.00
_symmetry_space_group_name_H-M 'R 3 2'
_symmetry_Int_Tables_number 155
_symmetry_space_group_name_Hall 'R 3 2"'
loop_
_atom_site_label
_atom_site_fract_x
_atom_site_fract_y
_atom_site_fract_z
Cs1 0.0000 0.0000 0.0000
Dy1 0.0000 0.0000 0.5000
Mn1 0.0000 0.0000 0.2430
Cl1 0.0000 0.0000 0.3126
Cl2 0.0077 0.3204 0.5524
```

***

Entry 9:
VASP calculation (PBE) on a geometry-optimized Cs3Na2DyCl9 structure.

Computed properties:
Crystal system ... trigonal
M_tot ... 1.03 μB/f.u.
Volume ... 489 Å³ per cell
Formation energy from raw total energies ... -1876 meV/atom

Geometry as CIF:
```
data_Cs3Na2DyCl9
_chemical_formula_sum 'Cs3 Na2 Dy1 Cl9'
_cell_length_a 7.6184
_cell_length_b 7.6184
_cell_length_c 9.7273
_cell_angle_alpha 90.00
_cell_angle_beta 90.00
_cell_angle_gamma 120.00
_symmetry_space_group_name_H-M 'P -3 m 1'
_symmetry_Int_Tables_number 164
_symmetry_space_group_name_Hall '-P 3 2"'
loop_
_atom_site_label
_atom_site_fract_x
_atom_site_fract_y
_atom_site_fract_z
Cs1 0.0000 0.0000 0.0000
Cs2 0.3333 0.6667 0.6743
Na1 0.3333 0.6667 0.1742
Dy1 0.0000 0.0000 0.5000
Cl1 0.0000 0.5000 0.0000
Cl2 0.1626 0.3252 0.3425
```

***

Entry 10:
VASP calculation (PBE) on a geometry-optimized CsNaDy2Cl8 structure.

Computed properties:
Crystal system ... monoclinic
M_tot ... 0.00 μB/f.u.
Volume ... 411 Å³ per cell
Formation energy from raw total energies ... -2123 meV/atom

Geometry as CIF:
```
data_CsNaDy2Cl8
_chemical_formula_sum 'Cs1 Na1 Dy2 Cl8'
_cell_length_a 6.844
_cell_length_b 8.371
_cell_length_c 7.199
_cell_angle_alpha 90.00
_cell_angle_beta 94.97
_cell_angle_gamma 90.00
_symmetry_space_group_name_H-M 'P 1 2/m 1'
_symmetry_Int_Tables_number 10
_symmetry_space_group_name_Hall '-P 2y'
loop_
_atom_site_label
_atom_site_fract_x
_atom_site_fract_y
_atom_site_fract_z
Cs1 0.000 0.000 0.000
Na1 0.000 0.500 0.000
Dy1 0.500 0.258 0.500
Cl1 0.267 0.285 0.197
Cl2 0.292 0.500 0.638
Cl3 0.301 0.000 0.622
```

***

Entry 11:
VASP calculation (PBE) on a geometry-optimized Cs2NaDyCl6 structure.

Computed properties:
Crystal system ... cubic
M_tot ... 0.00 μB/f.u.
Volume ... 1296 Å³ per cell
Formation energy from raw total energies ... -2144 meV/atom

Geometry as CIF:
```
data_Cs2NaDyCl6
_chemical_formula_sum 'Cs8 Na4 Dy4 Cl24'
_cell_length_a 10.903
_cell_length_b 10.903
_cell_length_c 10.903
_cell_angle_alpha 90.00
_cell_angle_beta 90.00
_cell_angle_gamma 90.00
_symmetry_space_group_name_H-M 'F m -3 m'
_symmetry_Int_Tables_number 225
_symmetry_space_group_name_Hall '-F 4 2 3'
loop_
_atom_site_label
_atom_site_fract_x
_atom_site_fract_y
_atom_site_fract_z
Cs1 0.250 0.250 0.250
Na1 0.000 0.000 0.000
Dy1 0.000 0.000 0.500
Cl1 0.000 0.000 0.258
```

***

Entry 12:
VASP calculation (PBE) on a geometry-optimized CsDyPbCl6 structure.

Computed properties:
Crystal system ... trigonal
M_tot ... 0.00 μB/f.u.
Volume ... 355 Å³ per cell
Formation energy from raw total energies ... -1896 meV/atom

Geometry as CIF:
```
data_CsDyPbCl6
_chemical_formula_sum 'Cs1 Dy1 Pb1 Cl6'
_cell_length_a 7.3861
_cell_length_b 7.3861
_cell_length_c 7.5082
_cell_angle_alpha 90.00
_cell_angle_beta 90.00
_cell_angle_gamma 120.00
_symmetry_space_group_name_H-M 'P 3 1 2'
_symmetry_Int_Tables_number 149
_symmetry_space_group_name_Hall 'P 3 2'
loop_
_atom_site_label
_atom_site_fract_x
_atom_site_fract_y
_atom_site_fract_z
Cs1 0.0000 0.0000 0.0000
Dy1 0.3333 0.6667 0.5000
Pb1 0.6667 0.3333 0.5000
Cl1 0.0259 0.3896 0.2941
```

***

Entry 13:
VASP calculation (PBE) on a geometry-optimized CsDyPdCl6 structure.

Computed properties:
Crystal system ... trigonal
M_tot ... 2.00 μB/f.u.
Volume ... 313 Å³ per cell
Formation energy from raw total energies ... -1585 meV/atom

Geometry as CIF:
```
data_CsDyPdCl6
_chemical_formula_sum 'Cs1 Dy1 Pd1 Cl6'
_cell_length_a 6.7631
_cell_length_b 6.7631
_cell_length_c 7.9090
_cell_angle_alpha 90.00
_cell_angle_beta 90.00
_cell_angle_gamma 120.00
_symmetry_space_group_name_H-M 'P 3 1 2'
_symmetry_Int_Tables_number 149
_symmetry_space_group_name_Hall 'P 3 2'
loop_
_atom_site_label
_atom_site_fract_x
_atom_site_fract_y
_atom_site_fract_z
Cs1 0.0000 0.0000 0.0000
Dy1 0.6667 0.3333 0.5000
Pd1 0.3333 0.6667 0.5000
Cl1 0.0107 0.3769 0.6896
```

***

Entry 14:
VASP calculation (PBE) on a geometry-optimized CsDyPtCl6 structure.

Computed properties:
Crystal system ... trigonal
M_tot ... 2.00 μB/f.u.
Volume ... 314 Å³ per cell
Formation energy from raw total energies ... -1485 meV/atom

Geometry as CIF:
```
data_CsDyPtCl6
_chemical_formula_sum 'Cs1 Dy1 Pt1 Cl6'
_cell_length_a 6.7363
_cell_length_b 6.7363
_cell_length_c 7.9843
_cell_angle_alpha 90.00
_cell_angle_beta 90.00
_cell_angle_gamma 120.00
_symmetry_space_group_name_H-M 'P 3 1 2'
_symmetry_Int_Tables_number 149
_symmetry_space_group_name_Hall 'P 3 2'
loop_
_atom_site_label
_atom_site_fract_x
_atom_site_fract_y
_atom_site_fract_z
Cs1 0.0000 0.0000 0.0000
Dy1 0.6667 0.3333 0.5000
Pt1 0.3333 0.6667 0.5000
Cl1 0.0107 0.3738 0.6884
```

***

Entry 15:
VASP calculation (PBE) on a geometry-optimized Cs2RbDyCl6 structure.

Computed properties:
Crystal system ... monoclinic
M_tot ... 0.00 μB/f.u.
Volume ... 759 Å³ per cell
Formation energy from raw total energies ... -2168 meV/atom

Geometry as CIF:
```
data_Cs2RbDyCl6
_chemical_formula_sum 'Cs4 Rb2 Dy2 Cl12'
_cell_length_a 7.996
_cell_length_b 8.300
_cell_length_c 13.942
_cell_angle_alpha 90.00
_cell_angle_beta 124.91
_cell_angle_gamma 90.00
_symmetry_space_group_name_H-M 'P 1 21/c 1'
_symmetry_Int_Tables_number 14
_symmetry_space_group_name_Hall '-P 2ybc'
loop_
_atom_site_label
_atom_site_fract_x
_atom_site_fract_y
_atom_site_fract_z
Cs1 0.232 0.057 0.249
Rb1 0.000 0.000 0.500
Dy1 0.500 0.000 0.000
Cl1 0.191 0.181 0.959
Cl2 0.274 0.736 0.951
Cl3 0.363 0.029 0.777
```

***

Entry 16:
VASP calculation (PBE) on a geometry-optimized Cs2RbDyCl6 structure.

Computed properties:
Crystal system ... cubic
M_tot ... 0.00 μB/f.u.
Volume ... 1547 Å³ per cell
Formation energy from raw total energies ... -2147 meV/atom

Geometry as CIF:
```
data_Cs2RbDyCl6
_chemical_formula_sum 'Cs8 Rb4 Dy4 Cl24'
_cell_length_a 11.565
_cell_length_b 11.565
_cell_length_c 11.565
_cell_angle_alpha 90.00
_cell_angle_beta 90.00
_cell_angle_gamma 90.00
_symmetry_space_group_name_H-M 'F m -3 m'
_symmetry_Int_Tables_number 225
_symmetry_space_group_name_Hall '-F 4 2 3'
loop_
_atom_site_label
_atom_site_fract_x
_atom_site_fract_y
_atom_site_fract_z
Cs1 0.250 0.250 0.250
Rb1 0.000 0.000 0.000
Dy1 0.000 0.000 0.500
Cl1 0.000 0.000 0.272
```

***

Entry 17:
VASP calculation (PBE) on a geometry-optimized CsDyRhCl6 structure.

Computed properties:
Crystal system ... monoclinic
M_tot ... 1.00 μB/f.u.
Volume ... 609 Å³ per cell
Formation energy from raw total energies ... -1583 meV/atom

Geometry as CIF:
```
data_CsDyRhCl6
_chemical_formula_sum 'Cs2 Dy2 Rh2 Cl12'
_cell_length_a 6.771
_cell_length_b 11.199
_cell_length_c 8.045
_cell_angle_alpha 90.00
_cell_angle_beta 93.32
_cell_angle_gamma 90.00
_symmetry_space_group_name_H-M 'C 1 2 1'
_symmetry_Int_Tables_number 5
_symmetry_space_group_name_Hall 'C 2y'
loop_
_atom_site_label
_atom_site_fract_x
_atom_site_fract_y
_atom_site_fract_z
Cs1 0.000 0.000 0.000
Dy1 0.000 0.337 0.500
Rh1 0.000 0.683 0.500
Cl1 0.141 0.529 0.673
Cl2 0.171 0.831 0.671
Cl3 0.191 0.201 0.715
```

***

Entry 18:
VASP calculation (PBE) on a geometry-optimized CsSr2DyCl8 structure.

Computed properties:
Crystal system ... triclinic
M_tot ... 0.00 μB/f.u.
Volume ... 421 Å³ per cell
Formation energy from raw total energies ... -2304 meV/atom

Geometry as CIF:
```
data_CsSr2DyCl8
_chemical_formula_sum 'Cs1 Sr2 Dy1 Cl8'
_cell_length_a 6.660
_cell_length_b 6.801
_cell_length_c 9.300
_cell_angle_alpha 89.98
_cell_angle_beta 89.94
_cell_angle_gamma 89.48
_symmetry_space_group_name_H-M 'P -1'
_symmetry_Int_Tables_number 2
_symmetry_space_group_name_Hall '-P 1'
loop_
_atom_site_label
_atom_site_fract_x
_atom_site_fract_y
_atom_site_fract_z
Cs1 0.000 0.000 0.000
Sr1 0.500 0.500 0.251
Dy1 0.000 0.000 0.500
Cl1 0.229 0.834 0.698
Cl2 0.230 0.835 0.302
Cl3 0.257 0.312 0.500
Cl4 0.270 0.399 0.000
```